Sm2Si2S7 | PBE-GGA | relaxed

The structure in POSCAR format:
```
Sm2Si2S7
1.0
-5.4777 -1.1201 -1.8924
-1.3767 -0.3105 6.9155
-0.0609 6.9560 -1.1945
Sm Si S
2 2 7
direct
0.5000 0.2999 0.7001 Sm
0.5000 0.7001 0.2999 Sm
0.0858 0.7753 0.7753 Si
0.9142 0.2247 0.2247 Si
0.2728 0.5891 0.9145 S
0.7272 0.0855 0.4109 S
0.7272 0.4109 0.0855 S
0.2728 0.9145 0.5891 S
0.2249 0.3922 0.3922 S
0.0000 0.0000 0.0000 S
0.7751 0.6078 0.6078 S
```

Output
Crystal system: monoclinic
Total DFT energy (no corrections), eV/atom: -5.6157
D(E_F), states/eV/f.u.: 0.000
ρ, g cm⁻³: 3.42



AgGePd6 | PBE-GGA | relaxed

The structure in POSCAR format:
```
AgGePd6
1.0
-2.2245 2.3464 -2.4377
-3.3360 -2.0081 1.1113
-1.0607 4.9163 5.7000
Ag Ge Pd
1 1 6
direct
0.0000 0.0000 0.0000 Ag
0.0000 0.0000 0.5000 Ge
0.5000 0.5000 0.0000 Pd
0.5000 0.5000 0.5000 Pd
0.5000 0.0000 0.2619 Pd
0.5000 0.0000 0.7381 Pd
0.0000 0.5000 0.2619 Pd
0.0000 0.5000 0.7381 Pd
```

Output
Calculated formation energy, eV per formula unit: -1.32
Crystal system: tetragonal
D(E_F), states/eV/f.u.: 14.143
ρ, g cm⁻³: 10.91



NaTl12Sn3 | PBE-GGA | relaxed

The structure in POSCAR format:
```
NaTl12Sn3
1.0
5.0150 0.0000 0.0000
0.0000 5.0150 0.0000
0.0000 0.0000 18.9763
Na Tl Sn
1 12 3
direct
0.0000 0.0000 0.0000 Na
0.5000 0.5000 0.0000 Tl
0.5000 0.5000 0.2505 Tl
0.5000 0.5000 0.5000 Tl
0.5000 0.5000 0.7495 Tl
0.5000 0.0000 0.1272 Tl
0.5000 0.0000 0.3767 Tl
0.5000 0.0000 0.6233 Tl
0.5000 0.0000 0.8728 Tl
0.0000 0.5000 0.1272 Tl
0.0000 0.5000 0.3767 Tl
0.0000 0.5000 0.6233 Tl
0.0000 0.5000 0.8728 Tl
0.0000 0.0000 0.2428 Sn
0.0000 0.0000 0.5000 Sn
0.0000 0.0000 0.7572 Sn
```

Output
Calculated formation energy, eV per formula unit: 0.02
Crystal system: tetragonal
D(E_F), states/eV/f.u.: 7.495
ρ, g cm⁻³: 9.85



Na5B7C3 | PBE-GGA | relaxed

The structure in POSCAR format:
```
Na5B7C3
1.0
-2.9556 6.6294 -1.8117
-6.2853 3.9237 1.0429
5.1878 1.3256 7.3053
Na B C
10 14 6
direct
0.8003 0.8001 0.0000 Na
0.9000 0.9000 0.5000 Na
0.6006 0.6006 0.0001 Na
0.7009 0.6995 0.4992 Na
0.4000 0.4000 0.0000 Na
0.5025 0.4982 0.5004 Na
0.1994 0.1994 0.9999 Na
0.2975 0.3018 0.4996 Na
0.9997 0.9999 0.0000 Na
0.0991 0.1005 0.5008 Na
0.5994 0.2968 0.7500 B
0.7142 0.9851 0.7494 B
0.5293 0.1694 0.2501 B
0.3966 0.6989 0.2501 B
0.4034 0.1011 0.7499 B
0.4950 0.7987 0.7504 B
0.3050 0.0013 0.2496 B
0.2006 0.5032 0.2500 B
0.2707 0.6306 0.7499 B
0.0858 0.8149 0.2506 B
0.0692 0.4294 0.7496 B
0.8986 0.5950 0.2496 B
0.9014 0.2050 0.7504 B
0.7308 0.3706 0.2504 B
0.5874 0.9095 0.2495 C
0.2126 0.8905 0.7505 C
0.9903 0.3122 0.2499 C
0.0103 0.6897 0.7493 C
0.7897 0.1103 0.2507 C
0.8097 0.4878 0.7501 C
```

Output
Polymorph energy (0 for the lowest one), meV/atom: 35
Calculated formation energy, eV per formula unit: 2.22
Crystal system: triclinic
D(E_F), states/eV/f.u.: 2.906
ρ, g cm⁻³: 2.42



Cu2MoSe | PBE-GGA | relaxed

The structure in POSCAR format:
```
Cu2MoSe
1.0
4.7441 0.0283 0.0728
3.7544 2.9003 0.0728
1.6529 0.5696 4.4078
Cu Mo Se
2 1 1
direct
0.9846 0.9846 0.0910 Cu
0.2413 0.2413 0.1775 Cu
0.4988 0.4988 0.5986 Mo
0.7753 0.7753 0.6329 Se
```

Output
Crystal system: monoclinic
Total DFT energy (no corrections), eV/atom: -5.4239
D(E_F), states/eV/f.u.: 0.878
ρ, g cm⁻³: 8.39



BaAcIN | PBE-GGA | relaxed

The structure in POSCAR format:
```
BaAcIN
1.0
4.0138 0.0000 0.0000
2.0069 3.4761 0.0000
2.0069 1.1587 9.0168
Ba Ac I N
1 1 1 1
direct
0.7759 0.7759 0.6722 Ba
0.6456 0.6456 0.0633 Ac
0.2094 0.2094 0.3717 I
0.3477 0.3477 0.9568 N
```

Output
Crystal system: trigonal
Total DFT energy (no corrections), eV/atom: -4.8872
D(E_F), states/eV/f.u.: 1.346
ρ, g cm⁻³: 6.67



BeGa2Ge2 | PBE-GGA | relaxed

The structure in POSCAR format:
```
BeGa2Ge2
1.0
-2.5643 -5.6018 -1.1436
3.0439 -2.3987 4.9239
-3.4843 1.0508 2.6658
Be Ge Ga
2 4 4
direct
0.0000 0.0000 0.0000 Be
0.5000 0.5000 0.0000 Be
0.1619 0.6619 0.5000 Ge
0.6619 0.8381 0.5000 Ge
0.8381 0.3381 0.5000 Ge
0.3381 0.1619 0.5000 Ge
0.3490 0.8490 0.0000 Ga
0.8490 0.6510 0.0000 Ga
0.6510 0.1510 0.0000 Ga
0.1510 0.3490 0.0000 Ga
```

Output
Polymorph energy (0 for the lowest one), meV/atom: 77
Calculated formation energy, eV per formula unit: 1.80
Crystal system: tetragonal
D(E_F), states/eV/f.u.: 1.519
ρ, g cm⁻³: 5.51



NaGdTm | PBE-GGA | relaxed

The structure in POSCAR format:
```
NaGdTm
1.0
3.5259 0.0000 0.0000
0.0000 3.5259 0.0000
-1.7630 -1.7630 7.9984
Gd Na Tm
1 1 1
direct
0.3225 0.3225 0.6449 Gd
0.0019 0.0019 0.0039 Na
0.6756 0.6756 0.3512 Tm
```

Output
Polymorph energy (0 for the lowest one), meV/atom: 15
Calculated formation energy, eV per formula unit: 0.48
Crystal system: tetragonal
D(E_F), states/eV/f.u.: 3.557
ρ, g cm⁻³: 5.83



RbBr2N | PBE-GGA | relaxed

The structure in POSCAR format:
```
RbBr2N
1.0
0.0630 -1.3077 6.0058
0.0411 -5.4939 2.7567
4.4512 -2.6137 3.3375
Br Rb N
2 1 1
direct
0.7831 0.7831 0.7831 Br
0.2169 0.2169 0.2169 Br
0.0000 0.0000 0.0000 Rb
0.5000 0.5000 0.5000 N
```

Output
Polymorph energy (0 for the lowest one), meV/atom: 603
Crystal system: trigonal
D(E_F), states/eV/f.u.: 6.679
ρ, g cm⁻³: 3.32



Nd4Tm3Tl | PBE-GGA | relaxed

The structure in POSCAR format:
```
Nd4Tm3Tl
1.0
-4.7962 3.8704 -3.3321
-3.1666 -5.9069 -2.3032
-5.8462 -0.1012 8.2974
Tl Tm Nd
2 6 8
direct
0.4997 0.8107 0.0000 Tl
0.5003 0.3107 0.5000 Tl
0.9997 0.3105 0.0000 Tm
0.2556 0.0606 0.7501 Tm
0.7444 0.5606 0.7499 Tm
0.0003 0.8105 0.5000 Tm
0.7444 0.5606 0.2501 Tm
0.2556 0.0606 0.2499 Tm
0.9990 0.8108 0.0000 Nd
0.5001 0.3103 0.0000 Nd
0.7541 0.0606 0.7495 Nd
0.2459 0.5606 0.7505 Nd
0.4999 0.8103 0.5000 Nd
0.0010 0.3108 0.5000 Nd
0.2459 0.5606 0.2495 Nd
0.7541 0.0606 0.2505 Nd
```

Output
Calculated formation energy, eV per formula unit: -0.35
Crystal system: orthorhombic
D(E_F), states/eV/f.u.: 10.833
ρ, g cm⁻³: 8.49



Sc2TiCdH | PBE-GGA | relaxed

The structure in POSCAR format:
```
Sc2TiCdH
1.0
-2.1845 -0.7957 -3.8406
2.0440 -3.9830 -0.3375
-3.1474 -1.7985 2.1628
Sc H Ti Cd
2 1 1 1
direct
0.0000 0.5000 0.0000 Sc
0.5000 0.0000 0.0000 Sc
0.0000 0.0000 0.0000 H
0.0000 0.0000 0.5000 Ti
0.5000 0.5000 0.5000 Cd
```

Output
Crystal system: tetragonal
Total DFT energy (no corrections), eV/atom: -5.1549
D(E_F), states/eV/f.u.: 5.439
ρ, g cm⁻³: 4.90



HfFeOs2 | PBE-GGA | relaxed

The structure in POSCAR format:
```
HfFeOs2
1.0
0.0000 3.1397 3.1397
3.1397 0.0000 3.1397
3.1397 3.1397 0.0000
Hf Os Fe
1 2 1
direct
0.5000 0.5000 0.5000 Hf
0.2500 0.2500 0.2500 Os
0.7500 0.7500 0.7500 Os
0.0000 0.0000 0.0000 Fe
```

Output
Polymorph energy (0 for the lowest one), meV/atom: 0
Calculated formation energy, eV per formula unit: -0.26
Crystal system: cubic
D(E_F), states/eV/f.u.: 3.612
ρ, g cm⁻³: 16.49



The lowest ρ belongs to which entry? Na5B7C3



Please write out number 8 again, unchanged.
NaGdTm | PBE-GGA | relaxed

The structure in POSCAR format:
```
NaGdTm
1.0
3.5259 0.0000 0.0000
0.0000 3.5259 0.0000
-1.7630 -1.7630 7.9984
Gd Na Tm
1 1 1
direct
0.3225 0.3225 0.6449 Gd
0.0019 0.0019 0.0039 Na
0.6756 0.6756 0.3512 Tm
```

Output
Polymorph energy (0 for the lowest one), meV/atom: 15
Calculated formation energy, eV per formula unit: 0.48
Crystal system: tetragonal
D(E_F), states/eV/f.u.: 3.557
ρ, g cm⁻³: 5.83



D(E_F) of number 2 (AgGePd6)? 14.143 states/eV/f.u.